Entry 1:
InGaGe3: optimized geometry, GGA-PBEsol.

Cell lengths 4.879, 4.879, 4.879 Å; angles 90.00, 90.00, 90.00 degrees
Atoms (fractional coordinates):
Ga  0.000  0.000  0.000
Ge  0.000  0.500  0.000
Ge  0.000  0.000  0.500
Ge  0.500  0.000  0.000
In  0.500  0.500  0.500

Uncorrected energy = -3.68 eV/atom
Energy of formation = 0.551 eV/atom

=====

Entry 2:
GaGeIr2Pt: optimized geometry, GGA-PBEsol.

Cell lengths 4.536, 4.536, 4.533 Å; angles 90.00, 90.00, 90.00 degrees
Atoms (fractional coordinates):
Ir  0.000  0.500  0.000
Ir  0.500  0.000  0.000
Ge  0.500  0.500  0.500
Ga  0.000  0.000  0.000
Pt  0.000  0.000  0.500

Uncorrected energy = -5.84 eV/atom
Energy of formation = 1.141 eV/atom

=====

Entry 3:
GaGeIrRh2: optimized geometry, GGA-PBEsol.

Cell lengths 4.384, 4.384, 4.513 Å; angles 90.00, 90.00, 90.00 degrees
Atoms (fractional coordinates):
Rh  0.000  0.500  0.000
Rh  0.500  0.000  0.000
Ga  0.000  0.000  0.500
Ir  0.500  0.500  0.500
Ge  0.000  0.000  0.000

Uncorrected energy = -5.77 eV/atom
Energy of formation = 1.109 eV/atom

=====

Entry 4:
KZnGaGe2: optimized geometry, GGA-PBEsol.

Cell lengths 5.499, 5.499, 5.473 Å; angles 90.00, 90.00, 90.00 degrees
Atoms (fractional coordinates):
Ge  0.000  0.500  0.000
Ge  0.500  0.000  0.000
K  0.000  0.000  0.000
Ga  0.000  0.000  0.500
Zn  0.500  0.500  0.500

Uncorrected energy = -1.64 eV/atom
Energy of formation = 1.547 eV/atom

=====

Entry 5:
LaGaGe2O7: optimized geometry, GGA-PBEsol.

Cell lengths 6.638, 7.308, 11.590 Å; angles 83.44, 90.00, 90.00 degrees
Atoms (fractional coordinates):
O  0.109  0.058  0.222
Ge  0.158  0.257  0.453
Ga  0.898  0.483  0.232
O  0.323  0.429  0.478
Ge  0.590  0.420  0.782
Ge  0.842  0.743  0.547
O  0.391  0.558  0.722
O  0.165  0.587  0.919
Ge  0.342  0.757  0.953
Ga  0.398  0.017  0.268
Ge  0.090  0.080  0.718
La  0.646  0.263  0.476
O  0.504  0.325  0.925
O  0.996  0.825  0.425
Ge  0.410  0.580  0.218
La  0.354  0.737  0.524
O  0.127  0.262  0.803
O  0.815  0.530  0.815
O  0.335  0.087  0.419
O  0.551  0.834  0.869
O  0.051  0.666  0.631
O  0.891  0.942  0.778
Ge  0.910  0.920  0.282
O  0.949  0.334  0.369
O  0.873  0.738  0.197
Ga  0.602  0.983  0.732
O  0.185  0.470  0.185
O  0.449  0.166  0.131
O  0.627  0.238  0.697
O  0.496  0.675  0.075
O  0.004  0.175  0.575
Ge  0.658  0.243  0.047
O  0.823  0.071  0.022
O  0.373  0.762  0.303
Ga  0.102  0.517  0.768
O  0.315  0.970  0.685
La  0.146  0.237  0.024
O  0.685  0.030  0.315
O  0.177  0.929  0.978
O  0.677  0.571  0.522
La  0.854  0.763  0.976
O  0.665  0.913  0.581
O  0.609  0.442  0.278
O  0.835  0.413  0.081

Uncorrected energy = -7.23 eV/atom
E_form (uncorrected) = -24.3 eV/f.u.

=====

Entry 6:
LiGaGeO4: optimized geometry, GGA-PBEsol.

Cell lengths 8.631, 8.631, 8.631 Å; angles 107.85, 107.85, 107.85 degrees
Atoms (fractional coordinates):
Ge  0.105  0.275  0.865
O  0.964  0.675  0.631
O  0.675  0.631  0.964
Ge  0.865  0.105  0.275
O  0.604  0.259  0.932
O  0.278  0.976  0.960
O  0.040  0.722  0.024
O  0.259  0.932  0.604
Ga  0.614  0.205  0.436
O  0.932  0.604  0.259
Ge  0.275  0.865  0.105
O  0.396  0.741  0.068
O  0.976  0.960  0.278
Li  0.231  0.066  0.465
O  0.741  0.068  0.396
Li  0.769  0.934  0.535
Ga  0.795  0.564  0.386
O  0.024  0.040  0.722
O  0.369  0.036  0.325
Li  0.934  0.535  0.769
O  0.672  0.698  0.353
Ga  0.386  0.795  0.564
O  0.722  0.024  0.040
Ge  0.135  0.895  0.725
O  0.325  0.369  0.036
O  0.302  0.647  0.328
O  0.036  0.325  0.369
Ga  0.205  0.436  0.614
O  0.647  0.328  0.302
Ge  0.725  0.135  0.895
O  0.328  0.302  0.647
O  0.353  0.672  0.698
O  0.631  0.964  0.675
O  0.698  0.353  0.672
Li  0.066  0.465  0.231
O  0.068  0.396  0.741
Ga  0.436  0.614  0.205
Ge  0.895  0.725  0.135
Ga  0.564  0.386  0.795
Li  0.535  0.769  0.934
O  0.960  0.278  0.976
Li  0.465  0.231  0.066

Uncorrected energy = -6.35 eV/atom
E_form (uncorrected) = -13.2 eV/f.u.

=====

Entry 7:
Li2Ga2GeS6: optimized geometry, GGA-PBEsol.

Cell lengths 6.766, 6.958, 11.793 Å; angles 98.02, 106.67, 60.91 degrees
Atoms (fractional coordinates):
S  0.955  0.869  0.267
Li  0.109  0.660  0.096
Ga  0.724  0.725  0.269
S  0.458  0.300  0.044
Li  0.673  0.340  0.904
Ga  0.180  0.275  0.731
S  0.713  0.700  0.956
S  0.558  0.131  0.733
S  0.489  0.610  0.650
S  0.939  0.369  0.233
S  0.449  0.390  0.350
S  0.074  0.631  0.767
Li  0.263  0.160  0.404
Li  0.020  0.840  0.596
S  0.089  0.110  0.850
Ge  0.406  0.000  0.000
S  0.664  0.800  0.456
Ga  0.699  0.775  0.769
S  0.007  0.200  0.544
S  0.348  0.890  0.150
Ga  0.705  0.225  0.231
Ge  0.656  0.500  0.500

Uncorrected energy = -4.62 eV/atom
E_form (uncorrected) = -9.0 eV/f.u.

=====

Entry 8:
Mn6GaGe: optimized geometry, GGA-PBEsol.

Cell lengths 4.085, 5.060, 5.060 Å; angles 120.00, 90.00, 90.00 degrees
Last column: magnetic moment on the atom in μB.
Atoms (fractional coordinates):
Ga  0.500  0.000  0.000  -0.07
Mn  0.500  0.015  0.507  1.26
Mn  0.500  0.493  0.507  1.26
Ge  0.000  0.667  0.333  -0.06
Mn  0.000  0.172  0.828  1.16
Mn  0.000  0.172  0.344  1.16
Mn  0.000  0.656  0.828  1.16
Mn  0.500  0.493  0.985  1.26

Uncorrected energy = -8.34 eV/atom
Energy of formation = 0.012 eV/atom